A relaxed MnHgSe2 crystal. Source: the Alexandria database, functional GGA-PBE.

The structure belongs to space group Pm (No. 6); the cell edges are 4.821, 3.630 and 6.120 Å and the angles 90.00°, 98.03° and 90.00°. The inequivalent atoms are Mn at (0.000, 0.000, 0.000), Hg at (0.640, 0.500, 0.158), Se at (0.104, 0.500, 0.772) and Se at (0.300, 0.000, 0.335).

***

A relaxed MnHgSe2 crystal. Source: the Alexandria database, functional GGA-PBE.

The structure belongs to space group R3m (No. 160, hexagonal axes); the cell edges are 3.4825, 3.4825 and 28.2044 Å and the angles 90.00°, 90.00° and 120.00°. The inequivalent atoms are Mn at (0.0000, 0.0000, 0.0000), Hg at (0.0000, 0.0000, 0.1694), Se at (0.0000, 0.0000, 0.3845) and Se at (0.0000, 0.0000, 0.6156).

***

A relaxed MnHgSe2 crystal. Source: the Alexandria database, functional GGA-PBE.

The structure belongs to space group Pnma (No. 62); the cell edges are 8.868, 3.340 and 12.525 Å and the angles 90.00°, 90.00° and 90.00°. The inequivalent atoms are Mn at (0.015, 0.250, 0.085), Hg at (0.242, 0.750, 0.160), Se at (0.019, 0.750, 0.725) and Se at (0.170, 0.250, 0.936).

***

Listing final energy for the structures above in their given order: -4.18; -4.46; -4.26 eV per atom.
Listing energy relative to the elements, uncorrected for the structures above in their given order: -69; -350; -152 meV per atom.